P.
# CsZr3I PBE-GGA optimized geometry
data_CsZr3I
_space_group_name_H-M_alt 'P 1'
_space_group_IT_number 1
_space_group_name_Hall 'P 1'
_cell_length_a 5.3511
_cell_length_b 5.3511
_cell_length_c 5.3511
_cell_angle_alpha 90.00
_cell_angle_beta 90.00
_cell_angle_gamma 90.00
loop_
_atom_site_label
_atom_site_fract_x
_atom_site_fract_y
_atom_site_fract_z
_atom_site_occupancy
Cs1 0.0000 0.0000 0.0000 1
Zr1 0.0000 0.0000 0.5000 1
Zr2 0.0000 0.5000 0.0000 1
Zr3 0.5000 0.0000 0.0000 1
I1 0.5000 0.5000 0.5000 1
# * crystal system: cubic
# * total magnetic moment: 0.8 μB/f.u.
# * space-group type: Pm-3m, No. 221



Q.
# CsZr3I PBE-GGA optimized geometry
data_CsZr3I
_space_group_name_H-M_alt 'P 1'
_space_group_IT_number 1
_space_group_name_Hall 'P 1'
_cell_length_a 5.4868
_cell_length_b 5.4868
_cell_length_c 5.4868
_cell_angle_alpha 90.00
_cell_angle_beta 90.00
_cell_angle_gamma 90.00
loop_
_atom_site_label
_atom_site_fract_x
_atom_site_fract_y
_atom_site_fract_z
_atom_site_occupancy
Cs1 0.0000 0.0000 0.0000 1
Zr1 0.0000 0.5000 0.5000 1
Zr2 0.5000 0.0000 0.5000 1
Zr3 0.5000 0.5000 0.0000 1
I1 0.5000 0.5000 0.5000 1
# * crystal system: cubic
# * total magnetic moment: 0.0 μB/f.u.
# * space-group type: Pm-3m, No. 221



Least stable structure: P



P.
# CsIn PBE-GGA optimized geometry
data_CsIn
_space_group_name_H-M_alt 'P 1'
_space_group_IT_number 1
_space_group_name_Hall 'P 1'
_cell_length_a 9.6561
_cell_length_b 8.8778
_cell_length_c 7.8886
_cell_angle_alpha 70.04
_cell_angle_beta 59.79
_cell_angle_gamma 50.17
loop_
_atom_site_label
_atom_site_fract_x
_atom_site_fract_y
_atom_site_fract_z
_atom_site_occupancy
Cs1 0.0648 0.6852 0.0648 1
Cs2 0.3148 0.9352 0.3148 1
Cs3 0.6852 0.0648 0.6852 1
Cs4 0.9352 0.3148 0.9352 1
In1 0.2268 0.5232 0.5232 1
In2 0.4768 0.7732 0.7732 1
In3 0.5232 0.2268 0.2268 1
In4 0.7732 0.4768 0.4768 1
# * crystal system: orthorhombic
# * total magnetic moment: 0.0 μB/f.u.
# * space-group type: Fddd, No. 70



Q.
# CsIn PBE-GGA optimized geometry
data_CsIn
_space_group_name_H-M_alt 'P 1'
_space_group_IT_number 1
_space_group_name_Hall 'P 1'
_cell_length_a 10.8267
_cell_length_b 10.8267
_cell_length_c 10.8267
_cell_angle_alpha 90.00
_cell_angle_beta 90.00
_cell_angle_gamma 90.00
loop_
_atom_site_label
_atom_site_fract_x
_atom_site_fract_y
_atom_site_fract_z
_atom_site_occupancy
Cs1 0.0000 0.2500 0.5000 1
Cs2 0.0000 0.7500 0.5000 1
Cs3 0.2500 0.5000 0.0000 1
Cs4 0.5000 0.0000 0.2500 1
Cs5 0.5000 0.0000 0.7500 1
Cs6 0.7500 0.5000 0.0000 1
In1 0.0000 0.5000 0.2500 1
In2 0.0000 0.5000 0.7500 1
In3 0.2500 0.0000 0.5000 1
In4 0.5000 0.2500 0.0000 1
In5 0.5000 0.7500 0.0000 1
In6 0.7500 0.0000 0.5000 1
# * crystal system: cubic
# * total magnetic moment: 0.0 μB/f.u.
# * space-group type: Pm-3n, No. 223



R.
# CsIn PBE-GGA optimized geometry
data_CsIn
_space_group_name_H-M_alt 'P 1'
_space_group_IT_number 1
_space_group_name_Hall 'P 1'
_cell_length_a 5.1040
_cell_length_b 18.1480
_cell_length_c 7.4377
_cell_angle_alpha 90.00
_cell_angle_beta 90.00
_cell_angle_gamma 90.00
loop_
_atom_site_label
_atom_site_fract_x
_atom_site_fract_y
_atom_site_fract_z
_atom_site_occupancy
Cs1 0.2500 0.0400 0.2371 1
Cs2 0.2500 0.4600 0.2371 1
Cs3 0.2500 0.7500 0.5142 1
Cs4 0.7500 0.2500 0.4858 1
Cs5 0.7500 0.5400 0.7629 1
Cs6 0.7500 0.9600 0.7629 1
In1 0.2500 0.2500 0.9546 1
In2 0.2500 0.6607 0.0237 1
In3 0.2500 0.8393 0.0237 1
In4 0.7500 0.1607 0.9763 1
In5 0.7500 0.3393 0.9763 1
In6 0.7500 0.7500 0.0454 1
# * crystal system: orthorhombic
# * total magnetic moment: 0.0 μB/f.u.
# * space-group type: Pmmn, No. 59



S.
# CsIn PBE-GGA optimized geometry
data_CsIn
_space_group_name_H-M_alt 'P 1'
_space_group_IT_number 1
_space_group_name_Hall 'P 1'
_cell_length_a 7.5926
_cell_length_b 7.5926
_cell_length_c 7.0485
_cell_angle_alpha 90.00
_cell_angle_beta 90.00
_cell_angle_gamma 74.18
loop_
_atom_site_label
_atom_site_fract_x
_atom_site_fract_y
_atom_site_fract_z
_atom_site_occupancy
Cs1 0.0213 0.3206 0.2500 1
Cs2 0.3206 0.0213 0.7500 1
Cs3 0.6794 0.9787 0.2500 1
Cs4 0.9787 0.6794 0.7500 1
In1 0.2477 0.7523 0.2500 1
In2 0.5000 0.5000 0.0000 1
In3 0.5000 0.5000 0.5000 1
In4 0.7523 0.2477 0.7500 1
# * crystal system: orthorhombic
# * total magnetic moment: 0.0 μB/f.u.
# * space-group type: Cmcm, No. 63



Least stable structure: Q



P.
# CsIn PBE-GGA optimized geometry
data_CsIn
_space_group_name_H-M_alt 'P 1'
_space_group_IT_number 1
_space_group_name_Hall 'P 1'
_cell_length_a 6.3648
_cell_length_b 5.1765
_cell_length_c 7.3242
_cell_angle_alpha 90.00
_cell_angle_beta 115.70
_cell_angle_gamma 90.00
loop_
_atom_site_label
_atom_site_fract_x
_atom_site_fract_y
_atom_site_fract_z
_atom_site_occupancy
Cs1 0.1508 0.2500 0.3018 1
Cs2 0.8492 0.7500 0.6982 1
In1 0.4567 0.2500 0.9120 1
In2 0.5433 0.7500 0.0880 1
# * crystal system: monoclinic
# * total magnetic moment: 0.0 μB/f.u.
# * space-group type: P2_1/m, No. 11



Q.
# CsIn PBE-GGA optimized geometry
data_CsIn
_space_group_name_H-M_alt 'P 1'
_space_group_IT_number 1
_space_group_name_Hall 'P 1'
_cell_length_a 16.3418
_cell_length_b 5.2450
_cell_length_c 7.3863
_cell_angle_alpha 90.00
_cell_angle_beta 90.00
_cell_angle_gamma 90.00
loop_
_atom_site_label
_atom_site_fract_x
_atom_site_fract_y
_atom_site_fract_z
_atom_site_occupancy
Cs1 0.0000 0.2475 0.0000 1
Cs2 0.2269 0.7473 0.0723 1
Cs3 0.2731 0.2527 0.5723 1
Cs4 0.5000 0.7525 0.5000 1
Cs5 0.7269 0.2527 0.5723 1
Cs6 0.7731 0.7473 0.0723 1
In1 0.0000 0.2559 0.5012 1
In2 0.0945 0.7552 0.5561 1
In3 0.4055 0.2448 0.0561 1
In4 0.5000 0.7441 0.0012 1
In5 0.5945 0.2448 0.0561 1
In6 0.9055 0.7552 0.5561 1
# * crystal system: orthorhombic
# * total magnetic moment: 0.0 μB/f.u.
# * space-group type: Pmn2_1, No. 31



R.
# CsIn PBE-GGA optimized geometry
data_CsIn
_space_group_name_H-M_alt 'P 1'
_space_group_IT_number 1
_space_group_name_Hall 'P 1'
_cell_length_a 5.6264
_cell_length_b 5.6264
_cell_length_c 5.6264
_cell_angle_alpha 60.00
_cell_angle_beta 60.00
_cell_angle_gamma 60.00
loop_
_atom_site_label
_atom_site_fract_x
_atom_site_fract_y
_atom_site_fract_z
_atom_site_occupancy
Cs1 0.0000 0.0000 0.0000 1
In1 0.5000 0.5000 0.5000 1
# * crystal system: cubic
# * total magnetic moment: 0.0 μB/f.u.
# * space-group type: Fm-3m, No. 225



S.
# CsIn PBE-GGA optimized geometry
data_CsIn
_space_group_name_H-M_alt 'P 1'
_space_group_IT_number 1
_space_group_name_Hall 'P 1'
_cell_length_a 10.7276
_cell_length_b 10.7276
_cell_length_c 6.2471
_cell_angle_alpha 90.00
_cell_angle_beta 90.00
_cell_angle_gamma 120.00
loop_
_atom_site_label
_atom_site_fract_x
_atom_site_fract_y
_atom_site_fract_z
_atom_site_occupancy
Cs1 0.1783 0.3566 0.2500 1
Cs2 0.1783 0.8217 0.2500 1
Cs3 0.3566 0.1783 0.7500 1
Cs4 0.6434 0.8217 0.2500 1
Cs5 0.8217 0.1783 0.7500 1
Cs6 0.8217 0.6434 0.7500 1
In1 0.1401 0.5701 0.7500 1
In2 0.4299 0.5701 0.7500 1
In3 0.4299 0.8599 0.7500 1
In4 0.5701 0.1401 0.2500 1
In5 0.5701 0.4299 0.2500 1
In6 0.8599 0.4299 0.2500 1
# * crystal system: hexagonal
# * total magnetic moment: 0.0 μB/f.u.
# * space-group type: P6_3/mmc, No. 194



Least stable structure: R



P.
# CsIn PBE-GGA optimized geometry
data_CsIn
_space_group_name_H-M_alt 'P 1'
_space_group_IT_number 1
_space_group_name_Hall 'P 1'
_cell_length_a 9.9313
_cell_length_b 9.9313
_cell_length_c 9.9313
_cell_angle_alpha 109.47
_cell_angle_beta 109.47
_cell_angle_gamma 109.47
loop_
_atom_site_label
_atom_site_fract_x
_atom_site_fract_y
_atom_site_fract_z
_atom_site_occupancy
Cs1 0.0000 0.0000 0.4159 1
Cs2 0.0000 0.4159 0.0000 1
Cs3 0.4159 0.0000 0.0000 1
Cs4 0.5841 0.5841 0.5841 1
In1 0.0000 0.0000 0.8060 1
In2 0.0000 0.8060 0.0000 1
In3 0.1940 0.1940 0.1940 1
In4 0.8060 0.0000 0.0000 1
# * crystal system: cubic
# * total magnetic moment: 1.0 μB/f.u.
# * space-group type: I-43m, No. 217



Q.
# CsIn PBE-GGA optimized geometry
data_CsIn
_space_group_name_H-M_alt 'P 1'
_space_group_IT_number 1
_space_group_name_Hall 'P 1'
_cell_length_a 6.6974
_cell_length_b 6.6974
_cell_length_c 7.9491
_cell_angle_alpha 90.00
_cell_angle_beta 90.00
_cell_angle_gamma 120.00
loop_
_atom_site_label
_atom_site_fract_x
_atom_site_fract_y
_atom_site_fract_z
_atom_site_occupancy
Cs1 0.3333 0.6667 0.2500 1
Cs2 0.6667 0.3333 0.7500 1
In1 0.3333 0.6667 0.7500 1
In2 0.6667 0.3333 0.2500 1
# * crystal system: hexagonal
# * total magnetic moment: 0.0 μB/f.u.
# * space-group type: P6_3/mmc, No. 194



Least stable structure: Q



P.
# CsIn PBE-GGA optimized geometry
data_CsIn
_space_group_name_H-M_alt 'P 1'
_space_group_IT_number 1
_space_group_name_Hall 'P 1'
_cell_length_a 10.9111
_cell_length_b 10.9111
_cell_length_c 10.9111
_cell_angle_alpha 27.51
_cell_angle_beta 27.51
_cell_angle_gamma 27.51
loop_
_atom_site_label
_atom_site_fract_x
_atom_site_fract_y
_atom_site_fract_z
_atom_site_occupancy
Cs1 0.0870 0.0870 0.0870 1
Cs2 0.9130 0.9130 0.9130 1
In1 0.3333 0.3333 0.3333 1
In2 0.6667 0.6667 0.6667 1
# * crystal system: trigonal
# * total magnetic moment: 0.0 μB/f.u.
# * space-group type: R-3m, No. 166



Q.
# CsIn PBE-GGA optimized geometry
data_CsIn
_space_group_name_H-M_alt 'P 1'
_space_group_IT_number 1
_space_group_name_Hall 'P 1'
_cell_length_a 9.3655
_cell_length_b 9.3655
_cell_length_c 9.3655
_cell_angle_alpha 93.41
_cell_angle_beta 93.41
_cell_angle_gamma 151.79
loop_
_atom_site_label
_atom_site_fract_x
_atom_site_fract_y
_atom_site_fract_z
_atom_site_occupancy
Cs1 0.1576 0.8411 0.9987 1
Cs2 0.1589 0.1576 0.3165 1
Cs3 0.8411 0.8424 0.6835 1
Cs4 0.8424 0.1589 0.0013 1
In1 0.1259 0.5007 0.6266 1
In2 0.4993 0.1259 0.6252 1
In3 0.5007 0.8741 0.3748 1
In4 0.8741 0.4993 0.3734 1
# * crystal system: tetragonal
# * total magnetic moment: 0.1 μB/f.u.
# * space-group type: I4/m, No. 87



Least stable structure: Q



P.
# CsIn5 PBE-GGA optimized geometry
data_CsIn5
_space_group_name_H-M_alt 'P 1'
_space_group_IT_number 1
_space_group_name_Hall 'P 1'
_cell_length_a 7.6277
_cell_length_b 7.6277
_cell_length_c 5.2894
_cell_angle_alpha 90.00
_cell_angle_beta 90.00
_cell_angle_gamma 140.07
loop_
_atom_site_label
_atom_site_fract_x
_atom_site_fract_y
_atom_site_fract_z
_atom_site_occupancy
Cs1 0.0000 0.0000 0.0000 1
In1 0.1830 0.8170 0.5000 1
In2 0.3156 0.6844 0.0000 1
In3 0.5000 0.5000 0.5000 1
In4 0.6844 0.3156 0.0000 1
In5 0.8170 0.1830 0.5000 1
# * crystal system: orthorhombic
# * total magnetic moment: 0.0 μB/f.u.
# * space-group type: Cmmm, No. 65



Q.
# CsIn5 PBE-GGA optimized geometry
data_CsIn5
_space_group_name_H-M_alt 'P 1'
_space_group_IT_number 1
_space_group_name_Hall 'P 1'
_cell_length_a 7.1639
_cell_length_b 7.1639
_cell_length_c 7.1639
_cell_angle_alpha 144.38
_cell_angle_beta 99.91
_cell_angle_gamma 90.86
loop_
_atom_site_label
_atom_site_fract_x
_atom_site_fract_y
_atom_site_fract_z
_atom_site_occupancy
Cs1 0.0000 0.0000 0.0000 1
In1 0.1668 0.3438 0.8229 1
In2 0.4791 0.6562 0.8229 1
In3 0.5000 0.0000 0.5000 1
In4 0.5209 0.3438 0.1771 1
In5 0.8332 0.6562 0.1771 1
# * crystal system: orthorhombic
# * total magnetic moment: 0.0 μB/f.u.
# * space-group type: Immm, No. 71



Least stable structure: P



P.
# CsIn2Ir PBE-GGA optimized geometry
data_CsIn2Ir
_space_group_name_H-M_alt 'P 1'
_space_group_IT_number 1
_space_group_name_Hall 'P 1'
_cell_length_a 3.3517
_cell_length_b 3.3517
_cell_length_c 9.4496
_cell_angle_alpha 90.00
_cell_angle_beta 90.00
_cell_angle_gamma 90.00
loop_
_atom_site_label
_atom_site_fract_x
_atom_site_fract_y
_atom_site_fract_z
_atom_site_occupancy
Cs1 0.0000 0.0000 0.0000 1
In1 0.5000 0.5000 0.3269 1
In2 0.5000 0.5000 0.6731 1
Ir1 0.0000 0.0000 0.5000 1
# * crystal system: tetragonal
# * total magnetic moment: 0.0 μB/f.u.
# * space-group type: P4/mmm, No. 123



Q.
# CsIn2Ir PBE-GGA optimized geometry
data_CsIn2Ir
_space_group_name_H-M_alt 'P 1'
_space_group_IT_number 1
_space_group_name_Hall 'P 1'
_cell_length_a 5.3249
_cell_length_b 5.3249
_cell_length_c 5.3249
_cell_angle_alpha 60.00
_cell_angle_beta 60.00
_cell_angle_gamma 60.00
loop_
_atom_site_label
_atom_site_fract_x
_atom_site_fract_y
_atom_site_fract_z
_atom_site_occupancy
Cs1 0.0000 0.0000 0.0000 1
In1 0.2500 0.2500 0.2500 1
In2 0.7500 0.7500 0.7500 1
Ir1 0.5000 0.5000 0.5000 1
# * crystal system: cubic
# * total magnetic moment: 0.0 μB/f.u.
# * space-group type: Fm-3m, No. 225



R.
# CsIn2Ir PBE-GGA optimized geometry
data_CsIn2Ir
_space_group_name_H-M_alt 'P 1'
_space_group_IT_number 1
_space_group_name_Hall 'P 1'
_cell_length_a 8.9562
_cell_length_b 8.9562
_cell_length_c 8.9562
_cell_angle_alpha 135.04
_cell_angle_beta 135.04
_cell_angle_gamma 65.47
loop_
_atom_site_label
_atom_site_fract_x
_atom_site_fract_y
_atom_site_fract_z
_atom_site_occupancy
Cs1 0.3750 0.6250 0.7500 1
Cs2 0.6250 0.3750 0.2500 1
In1 0.0000 0.0000 0.0000 1
In2 0.0000 0.0000 0.5000 1
In3 0.0000 0.5000 0.0000 1
In4 0.5000 0.0000 0.5000 1
Ir1 0.1250 0.8750 0.2500 1
Ir2 0.8750 0.1250 0.7500 1
# * crystal system: tetragonal
# * total magnetic moment: 0.0 μB/f.u.
# * space-group type: I4_1/amd, No. 141



Least stable structure: Q



P.
# CsInIr3 PBE-GGA optimized geometry
data_CsInIr3
_space_group_name_H-M_alt 'P 1'
_space_group_IT_number 1
_space_group_name_Hall 'P 1'
_cell_length_a 5.0449
_cell_length_b 5.0449
_cell_length_c 5.0449
_cell_angle_alpha 90.00
_cell_angle_beta 90.00
_cell_angle_gamma 90.00
loop_
_atom_site_label
_atom_site_fract_x
_atom_site_fract_y
_atom_site_fract_z
_atom_site_occupancy
Cs1 0.0000 0.0000 0.0000 1
In1 0.5000 0.5000 0.5000 1
Ir1 0.0000 0.0000 0.5000 1
Ir2 0.0000 0.5000 0.0000 1
Ir3 0.5000 0.0000 0.0000 1
# * crystal system: cubic
# * total magnetic moment: 1.5 μB/f.u.
# * space-group type: Pm-3m, No. 221



Q.
# CsInIr3 PBE-GGA optimized geometry
data_CsInIr3
_space_group_name_H-M_alt 'P 1'
_space_group_IT_number 1
_space_group_name_Hall 'P 1'
_cell_length_a 5.1023
_cell_length_b 5.1023
_cell_length_c 5.1023
_cell_angle_alpha 90.00
_cell_angle_beta 90.00
_cell_angle_gamma 90.00
loop_
_atom_site_label
_atom_site_fract_x
_atom_site_fract_y
_atom_site_fract_z
_atom_site_occupancy
Cs1 0.0000 0.0000 0.0000 1
In1 0.5000 0.5000 0.5000 1
Ir1 0.0000 0.5000 0.5000 1
Ir2 0.5000 0.0000 0.5000 1
Ir3 0.5000 0.5000 0.0000 1
# * crystal system: cubic
# * total magnetic moment: 2.3 μB/f.u.
# * space-group type: Pm-3m, No. 221



Least stable structure: P



P.
# CsIn3Ir PBE-GGA optimized geometry
data_CsIn3Ir
_space_group_name_H-M_alt 'P 1'
_space_group_IT_number 1
_space_group_name_Hall 'P 1'
_cell_length_a 5.3059
_cell_length_b 5.3059
_cell_length_c 5.3059
_cell_angle_alpha 90.00
_cell_angle_beta 90.00
_cell_angle_gamma 90.00
loop_
_atom_site_label
_atom_site_fract_x
_atom_site_fract_y
_atom_site_fract_z
_atom_site_occupancy
Cs1 0.0000 0.0000 0.0000 1
In1 0.0000 0.5000 0.5000 1
In2 0.5000 0.0000 0.5000 1
In3 0.5000 0.5000 0.0000 1
Ir1 0.5000 0.5000 0.5000 1
# * crystal system: cubic
# * total magnetic moment: 0.0 μB/f.u.
# * space-group type: Pm-3m, No. 221



Q.
# CsIn3Ir PBE-GGA optimized geometry
data_CsIn3Ir
_space_group_name_H-M_alt 'P 1'
_space_group_IT_number 1
_space_group_name_Hall 'P 1'
_cell_length_a 6.1563
_cell_length_b 6.1563
_cell_length_c 6.1563
_cell_angle_alpha 90.00
_cell_angle_beta 90.00
_cell_angle_gamma 90.00
loop_
_atom_site_label
_atom_site_fract_x
_atom_site_fract_y
_atom_site_fract_z
_atom_site_occupancy
Cs1 0.0000 0.0000 0.0000 1
In1 0.0000 0.0000 0.5000 1
In2 0.0000 0.5000 0.0000 1
In3 0.5000 0.0000 0.0000 1
Ir1 0.5000 0.5000 0.5000 1
# * crystal system: cubic
# * total magnetic moment: 0.0 μB/f.u.
# * space-group type: Pm-3m, No. 221



Least stable structure: Q